# 1
Co5Hg3 | PBE | relaxed

Cell: 8.0707 8.0707 4.5128 Å, 90.00 90.00 120.00°
With the nearest neighbours (Å) after each atom.
Fractional coordinates of all 16 atoms:
Co1 0.0000 0.1680 0.2500  2 Co 2.35
Co2 0.0000 0.8320 0.7500  2 Co 2.35
Co3 0.1680 0.0000 0.2500  2 Co 2.35
Co4 0.1680 0.1680 0.7500  2 Co 2.35
Co5 0.3333 0.6667 0.0000  2 Co 2.26
Co6 0.3333 0.6667 0.5000  2 Co 2.26
Co7 0.6667 0.3333 0.0000  2 Co 2.26
Co8 0.6667 0.3333 0.5000  2 Co 2.26
Co9 0.8320 0.0000 0.7500  2 Co 2.35
Co10 0.8320 0.8320 0.2500  2 Co 2.35
Hg1 0.0000 0.3826 0.7500  8 Co 2.68-2.84, 2 Hg 2.95
Hg2 0.0000 0.6174 0.2500  8 Co 2.68-2.84, 2 Hg 2.95
Hg3 0.3826 0.0000 0.7500  8 Co 2.68-2.84, 2 Hg 2.95
Hg4 0.3826 0.3826 0.2500  8 Co 2.68-2.84, 2 Hg 2.95
Hg5 0.6174 0.0000 0.2500  8 Co 2.68-2.84, 2 Hg 2.95
Hg6 0.6174 0.6174 0.7500  8 Co 2.68-2.84, 2 Hg 2.95

Calculated values
Calculated formation energy = 0.54 eV per atom
Theoretical density = 11.695 g/cm³
Energy above the most stable polymorph in this dataset = 2.04 kcal/mol of atoms


# 2
ErTh3S4 | PBE | relaxed

Cell: 6.9308 8.1417 6.8466 Å, 90.00 110.28 90.00°
With the nearest neighbours (Å) after each atom.
Fractional coordinates of all 16 atoms:
Er1 0.0000 0.1242 0.2500  6 S 2.76
Er2 0.0000 0.8758 0.7500  6 S 2.76
Th1 0.0000 0.3750 0.7500  6 S 2.82-2.84
Th2 0.0000 0.6250 0.2500  6 S 2.82-2.84
Th3 0.5000 0.1253 0.7500  6 S 2.83-2.90
Th4 0.5000 0.3756 0.2500  6 S 2.83-2.91
Th5 0.5000 0.6244 0.7500  6 S 2.83-2.91
Th6 0.5000 0.8747 0.2500  6 S 2.83-2.90
S1 0.2377 0.1185 0.0002  2 Er 2.76, 4 Th 2.83-2.91
S2 0.2377 0.8815 0.5002  2 Er 2.76, 4 Th 2.83-2.91
S3 0.2427 0.3678 0.4931  1 Er 2.76, 5 Th 2.82-2.91
S4 0.2427 0.6322 0.9931  1 Er 2.76, 5 Th 2.82-2.91
S5 0.7573 0.3678 0.0069  1 Er 2.76, 5 Th 2.82-2.91
S6 0.7573 0.6322 0.5069  1 Er 2.76, 5 Th 2.82-2.91
S7 0.7623 0.1185 0.4998  2 Er 2.76, 4 Th 2.83-2.91
S8 0.7623 0.8815 0.9998  2 Er 2.76, 4 Th 2.83-2.91

Calculated values
Energy relative to the elements, uncorrected = -179 kJ per mole of atoms
Theoretical density = 9.088 g/cm³


# 3
Nd2Al3Pt5 | PBE | relaxed

Cell: 12.9188 12.9188 6.9347 Å, 90.00 90.00 161.20°
With the nearest neighbours (Å) after each atom.
Fractional coordinates of all 20 atoms:
Nd1 0.0235 0.9765 0.5000  8 Pt 3.00-3.30, 5 Al 3.04-3.14
Nd2 0.3268 0.6732 0.5268  8 Pt 3.01-3.31, 1 Al 3.30
Nd3 0.6732 0.3268 0.0268  8 Pt 3.01-3.31, 1 Al 3.30
Nd4 0.9765 0.0235 0.0000  8 Pt 3.00-3.30, 5 Al 3.04-3.14
Al1 0.1334 0.8666 0.6750  4 Pt 2.51-2.78
Al2 0.2829 0.7171 0.0789  6 Pt 2.51-2.68
Al3 0.4525 0.5475 0.6770  5 Pt 2.47-2.71
Al4 0.5475 0.4525 0.1770  5 Pt 2.47-2.71
Al5 0.7171 0.2829 0.5789  6 Pt 2.51-2.68
Al6 0.8666 0.1334 0.1750  4 Pt 2.51-2.78
Pt1 0.0980 0.9020 0.1647  2 Al 2.47
Pt2 0.1978 0.8022 0.3516  4 Al 2.68-2.88, 3 Pt 2.86-2.88
Pt3 0.2278 0.7722 0.7782  4 Al 2.51-2.54
Pt4 0.3808 0.6192 0.9605  4 Al 2.61-2.69
Pt5 0.4472 0.5528 0.3082  2 Al 2.56-2.71
Pt6 0.5528 0.4472 0.8082  2 Al 2.56-2.71
Pt7 0.6192 0.3808 0.4605  4 Al 2.61-2.69
Pt8 0.7722 0.2278 0.2782  4 Al 2.51-2.54
Pt9 0.8022 0.1978 0.8516  4 Al 2.68-2.88, 3 Pt 2.86-2.88
Pt10 0.9020 0.0980 0.6647  2 Al 2.47

Calculated values
Calculated formation energy = -1.03 eV per atom
Theoretical density = 11.975 g/cm³


# 4
DyMn4Mo | PBE | relaxed

Cell: 4.9333 4.9333 4.9333 Å, 60.00 60.00 60.00°
With the nearest neighbours (Å) after each atom.
Fractional coordinates of all 6 atoms:
Dy1 0.0000 0.0000 0.0000  12 Mn 2.89, 4 Mo 3.02
Mn1 0.3754 0.3754 0.3754  6 Mn 2.46-2.47
Mn2 0.3754 0.3754 0.8739  6 Mn 2.46-2.47
Mn3 0.3754 0.8739 0.3754  6 Mn 2.46-2.47
Mn4 0.8739 0.3754 0.3754  6 Mn 2.46-2.47
Mo1 0.7500 0.7500 0.7500  12 Mn 2.89, 4 Dy 3.02

Calculated values
Calculated formation energy = 0.15 eV per atom
Theoretical density = 9.353 g/cm³


# 5
Sr2Li6Zn | PBE | relaxed

Cell: 6.3924 6.3924 6.6878 Å, 100.16 100.16 61.44°
With the nearest neighbours (Å) after each atom.
Fractional coordinates of all 9 atoms:
Sr1 0.1536 0.1536 0.3650  11 Li 3.47-3.80, 3 Zn 3.73-3.87
Sr2 0.8464 0.8464 0.6350  11 Li 3.47-3.80, 3 Zn 3.73-3.87
Li1 0.1206 0.6302 0.1577  3 Li 2.83-3.11, 1 Zn 2.93
Li2 0.3698 0.8794 0.8423  3 Li 2.83-3.11, 1 Zn 2.93
Li3 0.3859 0.3859 0.8194  1 Zn 2.69, 2 Li 2.83
Li4 0.6141 0.6141 0.1806  1 Zn 2.69, 2 Li 2.83
Li5 0.6302 0.1206 0.1577  3 Li 2.83-3.11, 1 Zn 2.93
Li6 0.8794 0.3698 0.8423  3 Li 2.83-3.11, 1 Zn 2.93
Zn1 0.5000 0.5000 0.5000  6 Li 2.69-2.93

Calculated values
Calculated formation energy = -0.02 eV per atom
Theoretical density = 1.995 g/cm³


# 6
NaPdI6 | PBE | relaxed

Cell: 6.6224 6.6224 8.5787 Å, 106.60 106.60 97.77°
With the nearest neighbours (Å) after each atom.
Fractional coordinates of all 8 atoms:
Na1 0.0000 0.0000 0.0000  4 I 3.14
Pd1 0.5000 0.5000 0.5000  6 I 2.71-2.78
I1 0.0822 0.4552 0.2815  1 Pd 2.78
I2 0.3381 0.3381 0.7081  1 Pd 2.71
I3 0.4552 0.0822 0.2815  1 Pd 2.78
I4 0.5448 0.9178 0.7185  1 Pd 2.78
I5 0.6619 0.6619 0.2919  1 Pd 2.71
I6 0.9178 0.5448 0.7185  1 Pd 2.78

Calculated values
Energy relative to the elements, uncorrected = -27 kJ per mole of atoms
Theoretical density = 4.406 g/cm³


# 7
LaSc3Ag | PBE | relaxed

Cell: 5.2610 5.2610 5.2610 Å, 90.00 90.00 90.00°
With the nearest neighbours (Å) after each atom.
Fractional coordinates of all 5 atoms:
La1 0.0000 0.0000 0.0000  12 Sc 3.72
Sc1 0.0000 0.5000 0.5000  2 Ag 2.63
Sc2 0.5000 0.0000 0.5000  2 Ag 2.63
Sc3 0.5000 0.5000 0.0000  2 Ag 2.63
Ag1 0.5000 0.5000 0.5000  6 Sc 2.63

Calculated values
Calculated formation energy = 0.21 eV per atom
Theoretical density = 4.352 g/cm³
Energy above the most stable polymorph in this dataset = 0.00 kcal/mol of atoms


# 8
Na2Al4W | PBE | relaxed

Cell: 8.4090 8.4090 8.4090 Å, 145.59 145.59 49.46°
With the nearest neighbours (Å) after each atom.
Fractional coordinates of all 7 atoms:
Na1 0.1319 0.1319 0.0000  9 Al 3.18-3.54
Na2 0.8681 0.8681 0.0000  9 Al 3.18-3.54
Al1 0.0000 0.5000 0.5000  2 W 2.49
Al2 0.3402 0.3402 0.0000  1 W 2.44
Al3 0.5000 0.0000 0.5000  2 W 2.49
Al4 0.6598 0.6598 0.0000  1 W 2.44
W1 0.5000 0.5000 0.0000  6 Al 2.44-2.49

Calculated values
Calculated formation energy = 0.47 eV per atom
Theoretical density = 2.967 g/cm³